The following is a GGA-PBE calculation of a geometry-optimized Pa4SbTe4 structure, from Alexandria via LeMat-Bulk.

Output
ΔE_f (raw) = -0.648 eV/atom
E_tot = -6.72 eV per atom

Lattice parameters (Å, degrees): 11.0994 11.0994 11.0994 27.54 27.54 27.54
Element x y z (fractional)
Pa 0.1021 0.1021 0.1021
Pa 0.2997 0.2997 0.2997
Pa 0.7003 0.7003 0.7003
Pa 0.8979 0.8979 0.8979
Sb 0.0000 0.0000 0.0000
Te 0.2015 0.2015 0.2015
Te 0.3994 0.3994 0.3994
Te 0.6006 0.6006 0.6006
Te 0.7985 0.7985 0.7985


The following is a GGA-PBE calculation of a geometry-optimized Pa5SbTe5 structure, from Alexandria via LeMat-Bulk.

Output
ΔE_f (raw) = -0.660 eV/atom
E_tot = -6.78 eV per atom

Lattice parameters (Å, degrees): 7.4402 7.4402 8.5667 106.66 106.66 48.37
Element x y z (fractional)
Pa 0.0000 0.0000 0.0000
Pa 0.3244 0.3244 0.1589
Pa 0.3332 0.3332 0.6677
Pa 0.6668 0.6668 0.3323
Pa 0.6756 0.6756 0.8411
Sb 0.5000 0.5000 0.0000
Te 0.1535 0.1535 0.8074
Te 0.1556 0.1556 0.3447
Te 0.5000 0.5000 0.5000
Te 0.8444 0.8444 0.6553
Te 0.8465 0.8465 0.1926